Compound: PO
Source: Alexandria
Functional: PBE
Structure: relaxed

POSCAR file:
```
PO
1.0
-1.269 -1.302 2.160
2.937 -3.529 -0.399
3.257 3.416 2.183
O P
2 2
direct
0.659 0.151 0.620 O
0.561 0.619 0.418 O
0.709 0.828 0.723 P
0.512 0.264 0.318 P
```

## Properties
**Magnetization**: 0.0 μB/cell
**Calculated density**: 2.416 g/cm3
**Energy relative to the elements, uncorrected**: -0.95 eV per atom
**Electronic total energy**: -6.14 eV per atom
**SG**: P1 (1)